Hf4BiAs2C, optimized geometry, DFT PBE; magnetic moment = 0.00 μB/f.u.; uncorrected energy = -8.272 eV per atom; space-group type = P-6m2
1.0
-3.000 1.496 1.261
1.279 -2.989 1.503
7.579 7.710 8.883
As Bi C Hf
2 1 1 4
Cartesian
2.099 2.135 2.460
5.480 5.575 6.423
-1.574 0.001 1.341
3.642 2.361 5.864
1.069 -0.256 2.848
1.451 3.079 4.887
2.980 4.634 6.679
6.215 4.978 8.880

NdErIn2, optimized geometry, DFT PBE; magnetic moment = 0.01 μB/f.u.; uncorrected energy = -4.173 eV per atom; space-group type = P4/mmm
1.0
3.794 0.000 0.000
0.000 3.794 0.000
0.000 0.000 7.593
Er In Nd
1 2 1
Cartesian
1.897 1.897 0.000
0.000 0.000 1.784
0.000 0.000 5.809
1.897 1.897 3.797

Q: Among the records above, which one has the highest uncorrected energy?
A: NdErIn2

Q: Which value of magnetic moment does entry 1 give?
A: 0.00 μB/f.u.

Q: Look up the uncorrected energy of the second one.
A: -4.173 eV per atom

Q: What is the formula in the second record?
A: NdErIn2